Entry 1:
A relaxed TiCr2CoPt crystal, computed with PBE.

```
data_TiCr2CoPt
_chemical_formula_sum 'Ti1 Cr2 Co1 Pt1'
_cell_length_a 4.5072
_cell_length_b 4.5072
_cell_length_c 4.6978
_cell_angle_alpha 90.00
_cell_angle_beta 90.00
_cell_angle_gamma 90.00
_symmetry_space_group_name_H-M 'P 4/m m m'
_symmetry_Int_Tables_number 123
_symmetry_space_group_name_Hall '-P 4 2'
loop_
_atom_site_label
_atom_site_fract_x
_atom_site_fract_y
_atom_site_fract_z
Ti1 0.0000 0.0000 0.0000
Cr1 0.0000 0.5000 0.5000
Co1 0.5000 0.5000 0.0000
Pt1 0.0000 0.0000 0.5000
```

Calculated values
For the formation energy, the calculation gives 1572 meV/atom.

Entry 2:
A relaxed BaCuIN2 crystal, computed with PBE.

```
data_BaCuIN2
_chemical_formula_sum 'Ba1 Cu1 I1 N2'
_cell_length_a 4.6713
_cell_length_b 4.6713
_cell_length_c 7.3208
_cell_angle_alpha 90.00
_cell_angle_beta 90.00
_cell_angle_gamma 90.00
_symmetry_space_group_name_H-M 'P 4/m m m'
_symmetry_Int_Tables_number 123
_symmetry_space_group_name_Hall '-P 4 2'
loop_
_atom_site_label
_atom_site_fract_x
_atom_site_fract_y
_atom_site_fract_z
Ba1 0.0000 0.0000 0.0000
Cu1 0.5000 0.5000 0.5000
I1 0.0000 0.0000 0.5000
N1 0.0000 0.5000 0.0000
```

Calculated values
The formation energy (no corrections) comes out at 1.56 eV/atom. The excess energy over the best structure of this formula in the dataset comes out at 604 meV per atom.

Number 1: total energy -6.49 eV per atom. Number 2: total energy -3.28 eV per atom.